Pa3TlN2O6 | PBE-GGA | relaxed

a = 6.667 Å, b = 6.667 Å, c = 4.699 Å
α = 91.92°, β = 91.92°, γ = 64.04°
Sites, in units of the cell vectors:
Pa  0.000  0.000  0.000
Pa  0.000  0.500  0.500
Pa  0.500  0.000  0.500
Tl  0.500  0.500  0.500
N  0.170  0.170  0.276
N  0.830  0.830  0.724
O  0.148  0.679  0.243
O  0.321  0.852  0.757
O  0.332  0.332  0.718
O  0.668  0.668  0.282
O  0.679  0.148  0.243
O  0.852  0.321  0.757

Values from the calculation:
- Volume: 187.6 Å³/cell
- E_form (uncorrected): -2664 kJ/mol of formula units
- Magnetization: 0.0 Bohr magnetons per cell
- Total energy: -8.7383 eV per atom
- Space-group type: No. 12

TmPa3N2O6 | PBE-GGA | relaxed

a = 6.775 Å, b = 6.775 Å, c = 4.548 Å
α = 91.17°, β = 91.17°, γ = 62.22°
Sites, in units of the cell vectors:
Tm  0.000  0.000  0.000
Pa  0.000  0.500  0.000
Pa  0.500  0.000  0.000
Pa  0.500  0.500  0.500
N  0.336  0.336  0.232
N  0.664  0.664  0.768
O  0.167  0.664  0.753
O  0.168  0.168  0.799
O  0.336  0.833  0.247
O  0.664  0.167  0.753
O  0.832  0.832  0.201
O  0.833  0.336  0.247

Values from the calculation:
- Volume: 184.7 Å³/cell
- E_form (uncorrected): -3416 kJ/mol of formula units
- Magnetization: 0.0 Bohr magnetons per cell
- Total energy: -9.5636 eV per atom
- Space-group type: No. 12

UPaN2O | PBE-GGA | relaxed

a = 3.483 Å, b = 3.483 Å, c = 11.218 Å
α = 90.00°, β = 90.00°, γ = 90.00°
Sites, in units of the cell vectors:
U  0.250  0.250  0.132
U  0.750  0.750  0.868
Pa  0.250  0.250  0.613
Pa  0.750  0.750  0.387
N  0.250  0.250  0.379
N  0.250  0.250  0.803
N  0.750  0.750  0.197
N  0.750  0.750  0.621
O  0.250  0.750  0.000
O  0.750  0.250  0.000

Values from the calculation:
- Volume: 136.1 Å³/cell
- E_form (uncorrected): -922 kJ/mol of formula units
- Magnetization: 2.8 Bohr magnetons per cell
- Total energy: -10.3892 eV per atom
- Space-group type: No. 129

Q: Number 2 is which compound?
A: TmPa3N2O6

Copy entry 3 word for word.
UPaN2O | PBE-GGA | relaxed

a = 3.483 Å, b = 3.483 Å, c = 11.218 Å
α = 90.00°, β = 90.00°, γ = 90.00°
Sites, in units of the cell vectors:
U  0.250  0.250  0.132
U  0.750  0.750  0.868
Pa  0.250  0.250  0.613
Pa  0.750  0.750  0.387
N  0.250  0.250  0.379
N  0.250  0.250  0.803
N  0.750  0.750  0.197
N  0.750  0.750  0.621
O  0.250  0.750  0.000
O  0.750  0.250  0.000

Values from the calculation:
- Volume: 136.1 Å³/cell
- E_form (uncorrected): -922 kJ/mol of formula units
- Magnetization: 2.8 Bohr magnetons per cell
- Total energy: -10.3892 eV per atom
- Space-group type: No. 129